Record 1
Density functional theory data (PBE) for an optimized crystal structure of SiSeBr2.

a = 10.154 Å, b = 10.154 Å, c = 10.154 Å
α = 20.38°, β = 20.38°, γ = 20.38°
Positions (direct):
Se1 0.250 0.250 0.250
Si1 0.750 0.750 0.750
Br1 0.026 0.026 0.026
Br2 0.474 0.474 0.474

Calculated values
Crystal system ... trigonal
Raw formation energy ... 304 meV/atom
D(E_F) ... 3.1 states/eV/f.u.

=====

Record 2
Density functional theory data (PBE) for an optimized crystal structure of SiSeBr2.

a = 8.209 Å, b = 8.209 Å, c = 8.209 Å
α = 60.00°, β = 60.00°, γ = 90.00°
Positions (direct):
Br1 0.375 0.623 0.750
Se1 0.750 0.250 0.500
Br2 0.373 0.625 0.250
Br3 0.377 0.125 0.250
Si1 0.250 0.750 0.500
Se2 0.000 0.000 0.000
Si2 0.500 0.500 0.000
Br4 0.875 0.627 0.750

Calculated values
Crystal system ... tetragonal
Raw formation energy ... 472 meV/atom
D(E_F) ... 1.1 states/eV/f.u.

=====

Record 3
Density functional theory data (PBE) for an optimized crystal structure of SiSeBr2.

a = 11.176 Å, b = 11.176 Å, c = 11.176 Å
α = 18.50°, β = 18.50°, γ = 18.50°
Positions (direct):
Si1 0.500 0.500 0.500
Br1 0.114 0.114 0.114
Se1 0.000 0.000 0.000
Br2 0.886 0.886 0.886

Calculated values
Crystal system ... trigonal
Raw formation energy ... 307 meV/atom
D(E_F) ... 3.4 states/eV/f.u.

=====

Record 4
Density functional theory data (PBE) for an optimized crystal structure of SiSeBr2.

a = 5.065 Å, b = 5.065 Å, c = 5.065 Å
α = 60.00°, β = 60.00°, γ = 60.00°
Positions (direct):
Si1 0.000 0.000 0.000
Br1 0.250 0.250 0.250
Br2 0.750 0.750 0.750
Se1 0.500 0.500 0.500

Calculated values
Crystal system ... cubic
Raw formation energy ... 645 meV/atom
D(E_F) ... 4.5 states/eV/f.u.

=====

Record 5
Density functional theory data (PBE) for an optimized crystal structure of SiSeBr2.

a = 3.466 Å, b = 7.508 Å, c = 7.509 Å
α = 38.52°, β = 90.00°, γ = 90.00°
Positions (direct):
Si1 0.500 0.750 0.750
Br1 0.000 0.880 0.880
Br2 0.000 0.620 0.620
Se1 0.500 0.250 0.250

Calculated values
Crystal system ... orthorhombic
Raw formation energy ... -75 meV/atom
D(E_F) ... 3.6 states/eV/f.u.

=====

Record 6
Density functional theory data (PBE) for an optimized crystal structure of SiSeBr2.

a = 7.952 Å, b = 7.952 Å, c = 7.952 Å
α = 156.03°, β = 145.13°, γ = 42.76°
Positions (direct):
Se1 0.750 0.250 0.500
Br1 0.106 0.106 0.000
Si1 0.250 0.750 0.500
Br2 0.394 0.394 0.000

Calculated values
Crystal system ... orthorhombic
Raw formation energy ... 257 meV/atom
D(E_F) ... 3.3 states/eV/f.u.

=====

Record 7
Density functional theory data (PBE) for an optimized crystal structure of SiSeBr2.

a = 4.890 Å, b = 5.469 Å, c = 4.865 Å
α = 66.15°, β = 84.80°, γ = 114.01°
Positions (direct):
Br1 0.000 0.000 0.000
Br2 0.500 0.000 0.500
Se1 0.000 0.500 0.500
Si1 0.500 0.500 0.000

Calculated values
Crystal system ... monoclinic
Raw formation energy ... 312 meV/atom
D(E_F) ... 0.9 states/eV/f.u.

=====

Record 8
Density functional theory data (PBE) for an optimized crystal structure of SiSeBr2.

a = 9.182 Å, b = 9.182 Å, c = 9.182 Å
α = 22.54°, β = 22.54°, γ = 22.54°
Positions (direct):
Se1 0.474 0.474 0.474
Br1 0.241 0.241 0.241
Si1 0.758 0.758 0.758
Br2 0.027 0.027 0.027

Calculated values
Crystal system ... trigonal
Raw formation energy ... -65 meV/atom
D(E_F) ... 2.7 states/eV/f.u.

=====

Record 9
Density functional theory data (PBE) for an optimized crystal structure of SiSeBr2.

a = 3.760 Å, b = 6.743 Å, c = 7.661 Å
α = 42.74°, β = 90.00°, γ = 90.00°
Positions (direct):
Br1 0.500 0.199 0.322
Se1 0.000 0.597 0.509
Br2 0.000 0.003 0.021
Si1 0.500 0.701 0.648

Calculated values
Crystal system ... monoclinic
Raw formation energy ... -135 meV/atom
D(E_F) ... 0.7 states/eV/f.u.

=====

Record 10
Density functional theory data (PBE) for an optimized crystal structure of SiSeBr3.

a = 5.218 Å, b = 5.218 Å, c = 5.218 Å
α = 90.00°, β = 90.00°, γ = 90.00°
Positions (direct):
Br1 0.000 0.500 0.000
Br2 0.500 0.000 0.000
Se1 0.500 0.500 0.500
Si1 0.000 0.000 0.000
Br3 0.000 0.000 0.500

Calculated values
Crystal system ... cubic
Raw formation energy ... 217 meV/atom
D(E_F) ... 4.7 states/eV/f.u.

=====

Record 11
Density functional theory data (PBE) for an optimized crystal structure of SiSeBr2.

a = 11.436 Å, b = 11.436 Å, c = 11.436 Å
α = 15.99°, β = 15.99°, γ = 15.99°
Positions (direct):
Br1 0.933 0.933 0.933
Si1 0.000 0.000 0.000
Se1 0.500 0.500 0.500
Br2 0.067 0.067 0.067

Calculated values
Crystal system ... trigonal
Raw formation energy ... 505 meV/atom
D(E_F) ... 3.1 states/eV/f.u.

=====

Record 12
Density functional theory data (PBE) for an optimized crystal structure of SiSeBr2.

a = 3.433 Å, b = 3.433 Å, c = 10.223 Å
α = 90.00°, β = 90.00°, γ = 122.40°
Positions (direct):
Br1 0.000 0.000 0.559
Si1 0.500 0.500 0.750
Br2 0.000 0.000 0.941
Se1 0.500 0.500 0.250

Calculated values
Crystal system ... orthorhombic
Raw formation energy ... 425 meV/atom
D(E_F) ... 3.5 states/eV/f.u.

=====

Record 13
Density functional theory data (PBE) for an optimized crystal structure of Si4SeBr.

a = 5.380 Å, b = 5.380 Å, c = 5.380 Å
α = 60.00°, β = 60.00°, γ = 60.00°
Positions (direct):
Si1 0.375 0.375 0.875
Se1 0.000 0.000 0.000
Si2 0.375 0.875 0.375
Si3 0.375 0.375 0.375
Si4 0.875 0.375 0.375
Br1 0.750 0.750 0.750

Calculated values
Crystal system ... cubic
Raw formation energy ... 665 meV/atom
D(E_F) ... 2.8 states/eV/f.u.

=====

Record 14
Density functional theory data (PBE) for an optimized crystal structure of SiSe2Br2.

a = 7.216 Å, b = 7.216 Å, c = 7.649 Å
α = 90.00°, β = 90.00°, γ = 90.00°
Positions (direct):
Se1 0.392 0.108 0.500
Si1 0.000 0.000 0.000
Se2 0.608 0.892 0.500
Se3 0.892 0.392 0.500
Br1 0.202 0.298 0.000
Br2 0.798 0.702 0.000
Br3 0.702 0.202 0.000
Se4 0.108 0.608 0.500
Si2 0.500 0.500 0.000
Br4 0.298 0.798 0.000

Calculated values
Crystal system ... tetragonal
Raw formation energy ... 210 meV/atom
D(E_F) ... 1.8 states/eV/f.u.

=====

Record 15
Density functional theory data (PBE) for an optimized crystal structure of SiSeBr2.

a = 6.313 Å, b = 6.313 Å, c = 6.046 Å
α = 86.10°, β = 86.10°, γ = 35.30°
Positions (direct):
Br1 0.750 0.750 0.709
Si1 0.164 0.164 0.223
Se1 0.597 0.597 0.485
Br2 0.989 0.989 0.082

Calculated values
Crystal system ... monoclinic
Raw formation energy ... -110 meV/atom

=====

Record 16
Density functional theory data (PBE) for an optimized crystal structure of SiSeBr2.

a = 3.574 Å, b = 6.064 Å, c = 4.440 Å
α = 90.00°, β = 90.00°, γ = 90.00°
Positions (direct):
Se1 0.500 0.000 0.500
Si1 0.000 0.500 0.500
Br1 0.500 0.500 0.000
Br2 0.000 0.000 0.000

Calculated values
Crystal system ... orthorhombic
Raw formation energy ... 424 meV/atom
D(E_F) ... 1.7 states/eV/f.u.

=====

Record 17
Density functional theory data (PBE) for an optimized crystal structure of SiSeBr2.

a = 9.079 Å, b = 9.079 Å, c = 4.160 Å
α = 62.53°, β = 62.53°, γ = 24.01°
Positions (direct):
Br1 0.107 0.107 0.848
Br2 0.393 0.393 0.652
Si1 0.750 0.750 0.750
Se1 0.250 0.250 0.250

Calculated values
Crystal system ... monoclinic
Raw formation energy ... 35 meV/atom
D(E_F) ... 0.1 states/eV/f.u.

=====

Record 18
Density functional theory data (PBE) for an optimized crystal structure of SiSeBr2.

a = 5.029 Å, b = 5.029 Å, c = 5.029 Å
α = 60.00°, β = 60.00°, γ = 60.00°
Positions (direct):
Br1 0.000 0.000 0.000
Br2 0.250 0.250 0.250
Se1 0.500 0.500 0.500
Si1 0.750 0.750 0.750

Calculated values
Crystal system ... cubic
Raw formation energy ... 570 meV/atom
D(E_F) ... 7.1 states/eV/f.u.

=====

Record 19
Density functional theory data (PBE) for an optimized crystal structure of SiSeBr2.

a = 4.729 Å, b = 4.729 Å, c = 4.135 Å
α = 90.00°, β = 90.00°, γ = 90.00°
Positions (direct):
Si1 0.000 0.500 0.500
Se1 0.500 0.000 0.500
Br1 0.000 0.000 0.000
Br2 0.500 0.500 0.000

Calculated values
Crystal system ... tetragonal
Raw formation energy ... 650 meV/atom
D(E_F) ... 3.6 states/eV/f.u.

=====

Record 20
Density functional theory data (PBE) for an optimized crystal structure of SiSeBr2.

a = 6.038 Å, b = 6.038 Å, c = 10.262 Å
α = 90.00°, β = 90.00°, γ = 148.86°
Positions (direct):
Se1 0.000 0.000 0.576
Br1 0.000 0.000 0.927
Si1 0.500 0.500 0.735
Br2 0.500 0.500 0.262

Calculated values
Crystal system ... orthorhombic
Raw formation energy ... 102 meV/atom
D(E_F) ... 1.8 states/eV/f.u.

=====

Record 21
Density functional theory data (PBE) for an optimized crystal structure of SiSeBr2.

a = 3.991 Å, b = 3.991 Å, c = 7.907 Å
α = 90.00°, β = 90.00°, γ = 90.00°
Positions (direct):
Br1 0.000 0.000 0.927
Se1 0.000 0.000 0.630
Br2 0.500 0.500 0.326
Si1 0.500 0.500 0.617

Calculated values
Crystal system ... tetragonal
Raw formation energy ... -108 meV/atom
D(E_F) ... 0.1 states/eV/f.u.

=====

Record 22
Density functional theory data (PBE) for an optimized crystal structure of SiSeBr2.

a = 6.839 Å, b = 6.839 Å, c = 6.839 Å
α = 146.03°, β = 146.03°, γ = 48.80°
Positions (direct):
Si1 0.750 0.250 0.500
Se1 0.500 0.500 0.000
Br1 0.000 0.000 0.000
Br2 0.250 0.750 0.500

Calculated values
Crystal system ... tetragonal
Raw formation energy ... 460 meV/atom
D(E_F) ... 2.5 states/eV/f.u.

=====

Record 23
Density functional theory data (PBE) for an optimized crystal structure of Sm6Si2Se3Br.

a = 4.184 Å, b = 8.503 Å, c = 9.402 Å
α = 102.15°, β = 102.86°, γ = 90.00°
Positions (direct):
Se1 0.160 0.838 0.320
Sm1 0.330 0.422 0.661
Se2 0.840 0.162 0.680
Sm2 0.324 0.894 0.649
Sm3 0.991 0.725 0.982
Sm4 0.670 0.578 0.339
Si1 0.167 0.334 0.335
Se3 0.500 0.500 0.000
Br1 0.500 0.000 0.000
Sm5 0.676 0.106 0.351
Si2 0.833 0.666 0.665
Sm6 0.009 0.275 0.018

Calculated values
Crystal system ... monoclinic
Raw formation energy ... -1413 meV/atom
D(E_F) ... 4.1 states/eV/f.u.

=====

Record 24
Density functional theory data (PBE) for an optimized crystal structure of Sm6Si2SeBr3.

a = 7.305 Å, b = 7.305 Å, c = 7.587 Å
α = 99.22°, β = 99.22°, γ = 120.00°
Positions (direct):
Sm1 0.931 0.587 0.792
Se1 0.000 0.000 0.000
Sm2 0.587 0.931 0.792
Br1 0.500 0.500 0.500
Br2 0.167 0.833 0.500
Sm3 0.413 0.069 0.208
Si1 0.667 0.333 0.000
Sm4 0.069 0.413 0.208
Si2 0.333 0.667 0.000
Sm5 0.275 0.275 0.793
Sm6 0.725 0.725 0.207
Br3 0.833 0.167 0.500

Calculated values
Crystal system ... monoclinic
Raw formation energy ... -1224 meV/atom
D(E_F) ... 5.9 states/eV/f.u.

=====

Record 25
Density functional theory data (PBE) for an optimized crystal structure of Sm8Si3SeBr4.

a = 8.442 Å, b = 8.693 Å, c = 8.440 Å
α = 119.04°, β = 120.01°, γ = 90.00°
Positions (direct):
Br1 0.000 0.000 0.000
Sm1 0.264 0.292 0.528
Se1 0.000 0.500 0.000
Sm2 0.241 0.708 0.483
Si1 0.500 0.500 0.000
Sm3 0.725 0.708 0.966
Sm4 0.758 0.292 0.034
Br2 0.000 0.000 0.500
Si2 0.000 0.500 0.500
Sm5 0.759 0.292 0.517
Sm6 0.242 0.708 0.966
Sm7 0.275 0.292 0.034
Br3 0.500 0.000 0.500
Br4 0.500 0.000 0.000
Si3 0.500 0.500 0.500
Sm8 0.736 0.708 0.472

Calculated values
Crystal system ... trigonal
Raw formation energy ... -1186 meV/atom
D(E_F) ... 7.1 states/eV/f.u.

=====

Record 26
Density functional theory data (PBE) for an optimized crystal structure of SiSnSe2Br.

a = 5.333 Å, b = 5.333 Å, c = 5.334 Å
α = 90.00°, β = 90.00°, γ = 90.00°
Positions (direct):
Se1 0.500 0.000 0.000
Si1 0.500 0.500 0.500
Sn1 0.000 0.000 0.000
Br1 0.000 0.000 0.500
Se2 0.000 0.500 0.000

Calculated values
Crystal system ... tetragonal
Raw formation energy ... 508 meV/atom
D(E_F) ... 3.2 states/eV/f.u.

=====

Record 27
Density functional theory data (PBE) for an optimized crystal structure of SiSnSe2Br.

a = 5.181 Å, b = 5.704 Å, c = 5.181 Å
α = 90.00°, β = 90.00°, γ = 90.00°
Positions (direct):
Se1 0.500 0.000 0.000
Sn1 0.000 0.000 0.000
Si1 0.000 0.500 0.000
Se2 0.000 0.000 0.500
Br1 0.500 0.500 0.500

Calculated values
Crystal system ... tetragonal
Raw formation energy ... 634 meV/atom
D(E_F) ... 6.1 states/eV/f.u.

=====

Record 28
Density functional theory data (PBE) for an optimized crystal structure of SiSnSe2Br.

a = 4.988 Å, b = 4.988 Å, c = 5.031 Å
α = 90.00°, β = 90.00°, γ = 90.00°
Positions (direct):
Sn1 0.500 0.500 0.500
Si1 0.000 0.000 0.000
Se1 0.500 0.000 0.000
Br1 0.000 0.000 0.500
Se2 0.000 0.500 0.000

Calculated values
Crystal system ... tetragonal
Raw formation energy ... -26 meV/atom
D(E_F) ... 2.8 states/eV/f.u.